No. 1
The following is a PBE-GGA calculation of a relaxed Ca4MgAg crystal, from Alexandria.

## Properties
The value obtained for the energy relative to the elements is -0.8 eV/f.u. The calculated volume is 32.72 Å³ per atom.

Cell: 3.8282 3.8282 13.3947 Å, 90.00 90.00 90.00°
Closest atoms and distances in Å follow each position.
Space group P4/mmm (No. 123)
Inequivalent atoms, fractional coordinates:
Ca 0.0000 0.0000 0.1323 (multiplicity 2)  4 Ag 3.24, 1 Ca 3.54
Ca 0.5000 0.5000 0.3449 (multiplicity 2)  4 Mg 3.41
Mg 0.0000 0.0000 0.5000 (multiplicity 1)  8 Ca 3.41
Ag 0.5000 0.5000 0.0000 (multiplicity 1)  8 Ca 3.24

***

No. 2
The following is a PBE-GGA calculation of a relaxed GaPdBr crystal, from Alexandria.

## Properties
The value obtained for the raw formation energy is -470 meV/atom. The calculated volume is 24.59 Å³ per atom.

Cell: 3.5204 4.7645 9.6546 Å, 99.83 95.26 110.41°
Closest atoms and distances in Å follow each position.
Space group P-1 (No. 2)
Inequivalent atoms, fractional coordinates:
Ga 0.0232 0.1244 0.3802 (multiplicity 2)  1 Br 2.45, 5 Pd 2.59-2.63
Pd 0.3442 0.7153 0.4152 (multiplicity 2)  5 Ga 2.59-2.63, 1 Br 2.63, 1 Pd 2.71
Br 0.0955 0.3319 0.1650 (multiplicity 2)  1 Ga 2.45, 1 Pd 2.63

***

No. 3
The following is a PBE-GGA calculation of a relaxed NbReRu2 crystal, from Alexandria.

## Properties
The value obtained for the energy relative to the elements is 0.9 eV/f.u. The calculated volume is 15.46 Å³ per atom.

Cell: 6.2772 6.2772 6.2772 Å, 90.00 90.00 90.00°
Closest atoms and distances in Å follow each position.
Space group Fm-3m (No. 225)
Inequivalent atoms, fractional coordinates:
Nb 0.0000 0.0000 0.0000 (multiplicity 4)  8 Ru 2.72
Re 0.0000 0.0000 0.5000 (multiplicity 4)  8 Ru 2.72
Ru 0.2500 0.2500 0.2500 (multiplicity 8)  4 Nb 2.72, 4 Re 2.72

***

No. 4
The following is a PBE-GGA calculation of a relaxed Zn2ReCl crystal, from Alexandria.

## Properties
The value obtained for the raw formation energy is 829 meV/atom. The calculated volume is 16.30 Å³ per atom.

Cell: 3.7397 3.7397 9.3258 Å, 90.00 90.00 90.00°
Closest atoms and distances in Å follow each position.
Space group I-4m2 (No. 119)
Inequivalent atoms, fractional coordinates:
Zn 0.0000 0.0000 0.0000 (multiplicity 2)  4 Re 2.64
Zn 0.0000 0.5000 0.2500 (multiplicity 2)  4 Cl 2.64
Re 0.0000 0.0000 0.5000 (multiplicity 2)  4 Zn 2.64
Cl 0.0000 0.5000 0.7500 (multiplicity 2)  4 Zn 2.64

***

No. 5
The following is a PBE-GGA calculation of a relaxed GaPHIrPtS crystal, from Alexandria.

## Properties
Its total energy is -32.1 eV per cell. The calculated volume is 16.93 Å³ per atom.

Cell: 3.6396 5.4792 6.0704 Å, 115.51 90.07 109.39°
Closest atoms and distances in Å follow each position.
Space group P1 (No. 1)
Inequivalent atoms, fractional coordinates:
Ga 0.0000 0.0000 0.0000 (multiplicity 1)  1 S 2.32, 1 P 2.44, 2 Pt 2.47
P 0.0844 0.1686 0.4464 (multiplicity 1)  2 Ir 2.27, 1 Pt 2.43, 1 Ga 2.44
H 0.4102 0.8225 0.5332 (multiplicity 1)  1 Pt 1.74, 1 Ir 1.75
Ir 0.6026 0.2042 0.6820 (multiplicity 1)  1 H 1.75
Pt 0.3400 0.6808 0.7441 (multiplicity 1)  1 H 1.74
S 0.2315 0.4592 0.0201 (multiplicity 1)  1 Ga 2.32, 1 Pt 2.42

***

No. 6
The following is a PBE-GGA calculation of a relaxed DyBRh crystal, from Alexandria.

## Properties
The value obtained for the energy relative to the elements is -1.7 eV/f.u. The calculated volume is 16.36 Å³ per atom.

Cell: 3.7142 3.7142 4.1088 Å, 90.00 90.00 120.00°
Closest atoms and distances in Å follow each position.
Space group P-6m2 (No. 187)
Inequivalent atoms, fractional coordinates:
Dy 0.0000 0.0000 0.0000 (multiplicity 1)  6 Rh 2.97, 6 B 2.97
B 0.3333 0.6667 0.5000 (multiplicity 1)  3 Rh 2.14
Rh 0.6667 0.3333 0.5000 (multiplicity 1)  3 B 2.14

***

No. 7
The following is a PBE-GGA calculation of a relaxed Cr2PtRh crystal, from Alexandria.

## Properties
The value obtained for the energy relative to the elements is 1.7 eV/f.u. The calculated volume is 14.78 Å³ per atom.

Cell: 3.7223 3.7223 17.0628 Å, 90.00 90.00 90.00°
Closest atoms and distances in Å follow each position.
Space group I-42d (No. 122)
Inequivalent atoms, fractional coordinates:
Cr 0.2024 0.2500 0.1250 (multiplicity 8)  2 Cr 2.39, 2 Rh 2.45, 2 Pt 2.58
Pt 0.0000 0.0000 0.5000 (multiplicity 4)  4 Cr 2.58, 4 Rh 2.63
Rh 0.0000 0.0000 0.0000 (multiplicity 4)  4 Cr 2.45, 4 Pt 2.63

***

No. 8
The following is a PBE-GGA calculation of a relaxed TaGaCo4 crystal, from Alexandria.

## Properties
The value obtained for the energy relative to the elements is -0.6 eV/f.u. The calculated volume is 12.55 Å³ per atom.

Cell: 4.1768 8.6246 4.1803 Å, 90.00 90.00 90.00°
Closest atoms and distances in Å follow each position.
Space group Cmmm (No. 65)
Inequivalent atoms, fractional coordinates:
Ta 0.0000 0.0000 0.0000 (multiplicity 2)  8 Co 2.54-2.56
Ga 0.0000 0.5000 0.5000 (multiplicity 2)  10 Co 2.54-2.83
Co 0.0000 0.1719 0.5000 (multiplicity 4)  4 Co 2.49-2.51, 2 Ga 2.56, 2 Ta 2.56
Co 0.0000 0.3334 0.0000 (multiplicity 4)  4 Co 2.51-2.54, 2 Ta 2.54, 2 Ga 2.54

***

No. 9
The following is a PBE-GGA calculation of a relaxed Tb12Y3In crystal, from Alexandria.

## Properties
The value obtained for the energy relative to the elements is -0.7 eV/f.u. The calculated volume is 31.27 Å³ per atom.

Cell: 4.9744 4.9744 20.2218 Å, 90.00 90.00 90.00°
Closest atoms and distances in Å follow each position.
Space group P4/mmm (No. 123)
Inequivalent atoms, fractional coordinates:
Tb 0.0000 0.0000 0.0000 (multiplicity 1)  8 Tb 3.48, 4 In 3.52
Tb 0.0000 0.0000 0.2451 (multiplicity 2)  4 Y 3.52, 8 Tb 3.54-3.60
Tb 0.0000 0.0000 0.5000 (multiplicity 1)  4 Y 3.52, 8 Tb 3.57
Tb 0.0000 0.5000 0.1207 (multiplicity 4)  8 Tb 3.48-3.54, 2 In 3.48, 2 Y 3.59
Tb 0.0000 0.5000 0.3735 (multiplicity 4)  8 Tb 3.52-3.60, 4 Y 3.55-3.57
Y 0.5000 0.5000 0.2483 (multiplicity 2)  12 Tb 3.52-3.59
Y 0.5000 0.5000 0.5000 (multiplicity 1)  12 Tb 3.52-3.57
In 0.5000 0.5000 0.0000 (multiplicity 1)  12 Tb 3.48-3.52

***

No. 10
The following is a PBE-GGA calculation of a relaxed HoVS2 crystal, from Alexandria.

## Properties
The value obtained for the raw formation energy is -821 meV/atom. The calculated volume is 22.44 Å³ per atom.

Cell: 3.6190 3.6190 23.7413 Å, 90.00 90.00 120.00°
Closest atoms and distances in Å follow each position.
Space group R-3m (No. 166, hexagonal axes)
Inequivalent atoms, fractional coordinates:
Ho 0.0000 0.0000 0.0000 (multiplicity 3)  2 S 2.65
V 0.0000 0.0000 0.5000 (multiplicity 3)  6 S 2.46
S 0.0000 0.0000 0.1117 (multiplicity 6)  3 V 2.46, 1 Ho 2.65

***

No. 11
The following is a PBE-GGA calculation of a relaxed TeH2S2Br2 crystal, from Alexandria.

## Properties
Its total energy is -40.3 eV per cell. The calculated volume is 23.19 Å³ per atom.

Cell: 12.6319 3.3690 9.5496 Å, 90.00 126.99 90.00°
Closest atoms and distances in Å follow each position.
Space group C2/m (No. 12)
Inequivalent atoms, fractional coordinates:
Te 0.0000 0.0000 0.0000 (multiplicity 2)  2 S 2.66, 4 Br 2.82
H 0.2315 0.0000 0.7068 (multiplicity 4)  2 S 1.72
S 0.2449 0.0000 0.2976 (multiplicity 4)  2 H 1.72
Br 0.0808 0.5000 0.8432 (multiplicity 4)  2 Te 2.82

***

No. 12
The following is a PBE-GGA calculation of a relaxed MgAl2I crystal, from Alexandria.

## Properties
The value obtained for the raw formation energy is 550 meV/atom. The calculated volume is 37.39 Å³ per atom.

Cell: 6.7640 6.7640 13.0756 Å, 90.00 90.00 90.00°
Closest atoms and distances in Å follow each position.
Space group I-42d (No. 122)
Inequivalent atoms, fractional coordinates:
Mg 0.0000 0.0000 0.0000 (multiplicity 4)  4 Al 2.80
Al 0.2243 0.2500 0.1250 (multiplicity 8)  2 Mg 2.80, 2 I 3.00
I 0.0000 0.0000 0.5000 (multiplicity 4)  4 Al 3.00

***

Number 1: total magnetic moment 0.00 μB per formula unit. Number 2: total magnetic moment 0.00 μB per formula unit. Number 3: total magnetic moment 1.88 μB per formula unit. Number 4: total magnetic moment 1.14 μB per formula unit. Number 5: total magnetic moment 0.00 μB per formula unit. Number 6: total magnetic moment 0.00 μB per formula unit. Number 7: total magnetic moment 0.00 μB per formula unit. Number 8: total magnetic moment 5.05 μB per formula unit. Number 9: total magnetic moment 0.00 μB per formula unit. Number 10: total magnetic moment 2.26 μB per formula unit. Number 11: total magnetic moment 0.00 μB per formula unit. Number 12: total magnetic moment 0.00 μB per formula unit.